Material: LiTe2AsI
Method: DFT, PBE
State: relaxed

The structure belongs to space group P4/mmm (No. 123); the cell edges are 5.535, 5.535 and 5.807 Å and the angles 90.00°, 90.00° and 90.00°. The distinct sites, in fractional coordinates, are Li at (0.000, 0.000, 0.000), Te at (0.000, 0.500, 0.500), As at (0.500, 0.500, 0.500) and I at (0.500, 0.500, 0.000).

The total magnetization is 0.0 μB per formula unit. Its density of states at the Fermi level is 6.592 states/eV/cell. For the formation energy (no corrections), the calculation gives 0.4 eV/f.u.